# Ba2CoCl | Alexandria | SCAN | PBEsol geometry
data_Ba2CoCl
_cell_length_a 4.4468
_cell_length_b 4.4468
_cell_length_c 6.1442
_cell_angle_alpha 90.00
_cell_angle_beta 90.00
_cell_angle_gamma 90.00
_space_group_name_H-M_alt 'P 4/m m m'
_space_group_IT_number 123
_space_group_name_Hall '-P 4 2'
loop_
_atom_site_label
_atom_site_fract_x
_atom_site_fract_y
_atom_site_fract_z
Ba1 0.0000 0.0000 0.0000
Ba2 0.5000 0.5000 0.5000
Co1 0.0000 0.0000 0.5000
Cl1 0.5000 0.5000 0.0000
# total magnetic moment: 1.06 μB/cell
# crystal system: tetragonal
# formation energy (no corrections): -675 meV per atom
# energy above the lowest structure with this stoichiometry: 0.000 eV/atom
# D(E_F): 3.54 states/eV/f.u.

# BaCo2Cl | Alexandria | SCAN | PBEsol geometry
data_BaCo2Cl
_cell_length_a 4.7680
_cell_length_b 4.7680
_cell_length_c 13.9977
_cell_angle_alpha 90.00
_cell_angle_beta 90.00
_cell_angle_gamma 90.00
_space_group_name_H-M_alt 'I 41/a m d'
_space_group_IT_number 141
loop_
_space_group_symop_operation_xyz
'x,y,z'
'-x,-y,-z'
'-y+1/4,x+3/4,z+1/4'
'y+1/4,-x+3/4,-z+1/4'
'-x+1/2,-y,z+1/2'
'x+1/2,y,-z+1/2'
'y+1/4,-x+1/4,z+3/4'
'-y+1/4,x+1/4,-z+3/4'
'x,-y,-z'
'-x,y,z'
'-y+1/4,-x+1/4,-z+3/4'
'y+1/4,x+1/4,z+3/4'
'-x+1/2,y,-z+1/2'
'x+1/2,-y,z+1/2'
'y+1/4,x+3/4,-z+1/4'
'-y+1/4,-x+3/4,z+1/4'
'x+1/2,y+1/2,z+1/2'
'-x+1/2,-y+1/2,-z+1/2'
'-y+3/4,x+1/4,z+3/4'
'y+3/4,-x+1/4,-z+3/4'
'-x,-y+1/2,z'
'x,y+1/2,-z'
'y+3/4,-x+3/4,z+1/4'
'-y+3/4,x+3/4,-z+1/4'
'x+1/2,-y+1/2,-z+1/2'
'-x+1/2,y+1/2,z+1/2'
'-y+3/4,-x+3/4,-z+1/4'
'y+3/4,x+3/4,z+1/4'
'-x,y+1/2,-z'
'x,-y+1/2,z'
'y+3/4,x+1/4,-z+3/4'
'-y+3/4,-x+1/4,z+3/4'
loop_
_atom_site_label
_atom_site_fract_x
_atom_site_fract_y
_atom_site_fract_z
Ba1 0.0000 0.2500 0.3750
Co1 0.0000 0.0000 0.0000
Cl1 0.0000 0.2500 0.8750
# total magnetic moment: 2.73 μB/cell
# crystal system: tetragonal
# formation energy (no corrections): 188 meV per atom
# energy above the lowest structure with this stoichiometry: 0.208 eV/atom
# D(E_F): 1.68 states/eV/f.u.

# BaCo2Cl | Alexandria | SCAN | PBEsol geometry
data_BaCo2Cl
_cell_length_a 3.9803
_cell_length_b 3.9803
_cell_length_c 5.8343
_cell_angle_alpha 90.00
_cell_angle_beta 90.00
_cell_angle_gamma 90.00
_space_group_name_H-M_alt 'P 4/m m m'
_space_group_IT_number 123
_space_group_name_Hall '-P 4 2'
loop_
_atom_site_label
_atom_site_fract_x
_atom_site_fract_y
_atom_site_fract_z
Ba1 0.0000 0.0000 0.0000
Co1 0.0000 0.5000 0.5000
Cl1 0.5000 0.5000 0.0000
# total magnetic moment: 4.09 μB/cell
# crystal system: tetragonal
# formation energy (no corrections): -20 meV per atom
# energy above the lowest structure with this stoichiometry: 0.000 eV/atom
# D(E_F): 1.79 states/eV/f.u.

# BaCoCl2 | Alexandria | SCAN | PBEsol geometry
data_BaCoCl2
_cell_length_a 10.9950
_cell_length_b 3.9358
_cell_length_c 4.3887
_cell_angle_alpha 90.00
_cell_angle_beta 105.18
_cell_angle_gamma 90.00
_space_group_name_H-M_alt 'C 1 m 1'
_space_group_IT_number 8
_space_group_name_Hall 'C -2y'
loop_
_atom_site_label
_atom_site_fract_x
_atom_site_fract_y
_atom_site_fract_z
Ba1 0.0000 0.0000 0.0000
Co1 0.2708 0.5000 0.3574
Cl1 0.1110 0.5000 0.5813
Cl2 0.3123 0.0000 0.2193
# total magnetic moment: 2.01 μB/cell
# crystal system: monoclinic
# formation energy (no corrections): -1110 meV per atom
# energy above the lowest structure with this stoichiometry: 0.110 eV/atom
# D(E_F): 0.18 states/eV/f.u.

# Ba2CoGeCl | Alexandria | SCAN | PBEsol geometry
data_Ba2CoGeCl
_cell_length_a 6.0041
_cell_length_b 6.0041
_cell_length_c 4.0437
_cell_angle_alpha 90.00
_cell_angle_beta 90.00
_cell_angle_gamma 90.00
_space_group_name_H-M_alt 'P 4/m m m'
_space_group_IT_number 123
_space_group_name_Hall '-P 4 2'
loop_
_atom_site_label
_atom_site_fract_x
_atom_site_fract_y
_atom_site_fract_z
Ba1 0.0000 0.5000 0.0000
Co1 0.0000 0.0000 0.5000
Ge1 0.5000 0.5000 0.5000
Cl1 0.0000 0.0000 0.0000
# total magnetic moment: 1.20 μB/cell
# crystal system: tetragonal
# formation energy (no corrections): -406 meV per atom
# D(E_F): 2.15 states/eV/f.u.

# Ba6Mn4Co2ClO16 | Alexandria | SCAN | PBEsol geometry
data_Ba6Mn4Co2ClO16
_cell_length_a 14.5909
_cell_length_b 5.6959
_cell_length_c 9.8492
_cell_angle_alpha 90.00
_cell_angle_beta 90.00
_cell_angle_gamma 90.00
_space_group_name_H-M_alt 'A m m 2'
_space_group_IT_number 38
_space_group_name_Hall 'A 2 -2'
loop_
_atom_site_label
_atom_site_fract_x
_atom_site_fract_y
_atom_site_fract_z
Ba1 0.0000 0.0000 0.0000
Ba2 0.1470 0.0000 0.6668
Ba3 0.2960 0.0000 0.0016
Ba4 0.5000 0.0000 0.3408
Mn1 0.0850 0.0000 0.3333
Mn2 0.2573 0.0000 0.3349
Co1 0.3777 0.0000 0.6687
Cl1 0.5000 0.0000 0.9915
O1 0.0000 0.0000 0.4828
O2 0.0000 0.2239 0.2584
O3 0.1654 0.0000 0.1858
O4 0.1650 0.2219 0.4074
O5 0.3268 0.0000 0.4946
O6 0.3293 0.2392 0.2560
O7 0.5000 0.0000 0.6474
# total magnetic moment: 38.00 μB/cell
# crystal system: orthorhombic
# formation energy (no corrections): -2493 meV per atom
# D(E_F): 2.90 states/eV/f.u.

# Ba7V6CoCl4O21 | Alexandria | SCAN | PBEsol geometry
data_Ba7V6CoCl4O21
_cell_length_a 16.5915
_cell_length_b 10.5562
_cell_length_c 14.7383
_cell_angle_alpha 90.00
_cell_angle_beta 90.00
_cell_angle_gamma 90.00
_space_group_name_H-M_alt 'C m c m'
_space_group_IT_number 63
_space_group_name_Hall '-C 2c 2'
loop_
_atom_site_label
_atom_site_fract_x
_atom_site_fract_y
_atom_site_fract_z
Ba1 0.0000 0.1383 0.2500
Ba2 0.1452 0.3072 0.0389
Ba3 0.1538 0.3035 0.7500
V1 0.0000 0.4932 0.1383
V2 0.1700 0.0025 0.1314
Co1 0.0000 0.0000 0.0000
Cl1 0.0000 0.1836 0.6043
Cl2 0.1643 0.3246 0.2500
O1 0.0000 0.3329 0.1281
O2 0.0000 0.4379 0.7500
O3 0.0862 0.0713 0.0832
O4 0.0859 0.4549 0.5910
O5 0.1440 0.0211 0.7500
O6 0.1949 0.1398 0.5883
O7 0.2460 0.1050 0.1173
# total magnetic moment: 12.00 μB/cell
# crystal system: orthorhombic
# formation energy (no corrections): -2893 meV per atom

# BaCoSCl2 | Alexandria | SCAN | PBEsol geometry
data_BaCoSCl2
_cell_length_a 4.7932
_cell_length_b 4.7932
_cell_length_c 4.5236
_cell_angle_alpha 90.00
_cell_angle_beta 90.00
_cell_angle_gamma 90.00
_space_group_name_H-M_alt 'P 4/m m m'
_space_group_IT_number 123
_space_group_name_Hall '-P 4 2'
loop_
_atom_site_label
_atom_site_fract_x
_atom_site_fract_y
_atom_site_fract_z
Ba1 0.0000 0.0000 0.0000
Co1 0.5000 0.5000 0.5000
S1 0.5000 0.5000 0.0000
Cl1 0.0000 0.5000 0.5000
# total magnetic moment: 2.24 μB/cell
# crystal system: tetragonal
# formation energy (no corrections): -1570 meV per atom
# D(E_F): 1.83 states/eV/f.u.

# Ba2ZrCoCl | Alexandria | SCAN | PBEsol geometry
data_Ba2ZrCoCl
_cell_length_a 6.1695
_cell_length_b 6.1695
_cell_length_c 4.4980
_cell_angle_alpha 90.00
_cell_angle_beta 90.00
_cell_angle_gamma 90.00
_space_group_name_H-M_alt 'P 4/m m m'
_space_group_IT_number 123
_space_group_name_Hall '-P 4 2'
loop_
_atom_site_label
_atom_site_fract_x
_atom_site_fract_y
_atom_site_fract_z
Ba1 0.0000 0.5000 0.0000
Zr1 0.0000 0.0000 0.5000
Co1 0.0000 0.0000 0.0000
Cl1 0.5000 0.5000 0.5000
# total magnetic moment: 0.00 μB/cell
# crystal system: tetragonal
# formation energy (no corrections): -150 meV per atom
# D(E_F): 5.59 states/eV/f.u.

# BaCr4Cl | Alexandria | SCAN | PBEsol geometry
data_BaCr4Cl
_cell_length_a 7.5271
_cell_length_b 7.5271
_cell_length_c 7.5271
_cell_angle_alpha 90.00
_cell_angle_beta 90.00
_cell_angle_gamma 90.00
_space_group_name_H-M_alt 'F -4 3 m'
_space_group_IT_number 216
_space_group_name_Hall 'F -4 2 3'
loop_
_atom_site_label
_atom_site_fract_x
_atom_site_fract_y
_atom_site_fract_z
Ba1 0.0000 0.0000 0.0000
Cr1 0.1415 0.1415 0.3585
Cl1 0.2500 0.2500 0.7500
# total magnetic moment: 0.01 μB/cell
# crystal system: cubic
# formation energy (no corrections): 1333 meV per atom
# D(E_F): 6.73 states/eV/f.u.

# BaCr2Cl | Alexandria | SCAN | PBEsol geometry
data_BaCr2Cl
_cell_length_a 7.6711
_cell_length_b 7.6711
_cell_length_c 7.6711
_cell_angle_alpha 90.00
_cell_angle_beta 90.00
_cell_angle_gamma 90.00
_space_group_name_H-M_alt 'F m -3 m'
_space_group_IT_number 225
_space_group_name_Hall '-F 4 2 3'
loop_
_atom_site_label
_atom_site_fract_x
_atom_site_fract_y
_atom_site_fract_z
Ba1 0.0000 0.0000 0.0000
Cr1 0.2500 0.2500 0.2500
Cl1 0.0000 0.0000 0.5000
# total magnetic moment: 45.60 μB/cell
# crystal system: cubic
# formation energy (no corrections): 405 meV per atom
# D(E_F): 1.92 states/eV/f.u.

Which of these has the lowest total magnetic moment?
Ba2ZrCoCl

Copy entry 1 word for word.
# Ba2CoCl | Alexandria | SCAN | PBEsol geometry
data_Ba2CoCl
_cell_length_a 4.4468
_cell_length_b 4.4468
_cell_length_c 6.1442
_cell_angle_alpha 90.00
_cell_angle_beta 90.00
_cell_angle_gamma 90.00
_space_group_name_H-M_alt 'P 4/m m m'
_space_group_IT_number 123
_space_group_name_Hall '-P 4 2'
loop_
_atom_site_label
_atom_site_fract_x
_atom_site_fract_y
_atom_site_fract_z
Ba1 0.0000 0.0000 0.0000
Ba2 0.5000 0.5000 0.5000
Co1 0.0000 0.0000 0.5000
Cl1 0.5000 0.5000 0.0000
# total magnetic moment: 1.06 μB/cell
# crystal system: tetragonal
# formation energy (no corrections): -675 meV per atom
# energy above the lowest structure with this stoichiometry: 0.000 eV/atom
# D(E_F): 3.54 states/eV/f.u.

Which formula does entry 2 have?
BaCo2Cl

Copy entry 2 word for word.
# BaCo2Cl | Alexandria | SCAN | PBEsol geometry
data_BaCo2Cl
_cell_length_a 4.7680
_cell_length_b 4.7680
_cell_length_c 13.9977
_cell_angle_alpha 90.00
_cell_angle_beta 90.00
_cell_angle_gamma 90.00
_space_group_name_H-M_alt 'I 41/a m d'
_space_group_IT_number 141
loop_
_space_group_symop_operation_xyz
'x,y,z'
'-x,-y,-z'
'-y+1/4,x+3/4,z+1/4'
'y+1/4,-x+3/4,-z+1/4'
'-x+1/2,-y,z+1/2'
'x+1/2,y,-z+1/2'
'y+1/4,-x+1/4,z+3/4'
'-y+1/4,x+1/4,-z+3/4'
'x,-y,-z'
'-x,y,z'
'-y+1/4,-x+1/4,-z+3/4'
'y+1/4,x+1/4,z+3/4'
'-x+1/2,y,-z+1/2'
'x+1/2,-y,z+1/2'
'y+1/4,x+3/4,-z+1/4'
'-y+1/4,-x+3/4,z+1/4'
'x+1/2,y+1/2,z+1/2'
'-x+1/2,-y+1/2,-z+1/2'
'-y+3/4,x+1/4,z+3/4'
'y+3/4,-x+1/4,-z+3/4'
'-x,-y+1/2,z'
'x,y+1/2,-z'
'y+3/4,-x+3/4,z+1/4'
'-y+3/4,x+3/4,-z+1/4'
'x+1/2,-y+1/2,-z+1/2'
'-x+1/2,y+1/2,z+1/2'
'-y+3/4,-x+3/4,-z+1/4'
'y+3/4,x+3/4,z+1/4'
'-x,y+1/2,-z'
'x,-y+1/2,z'
'y+3/4,x+1/4,-z+3/4'
'-y+3/4,-x+1/4,z+3/4'
loop_
_atom_site_label
_atom_site_fract_x
_atom_site_fract_y
_atom_site_fract_z
Ba1 0.0000 0.2500 0.3750
Co1 0.0000 0.0000 0.0000
Cl1 0.0000 0.2500 0.8750
# total magnetic moment: 2.73 μB/cell
# crystal system: tetragonal
# formation energy (no corrections): 188 meV per atom
# energy above the lowest structure with this stoichiometry: 0.208 eV/atom
# D(E_F): 1.68 states/eV/f.u.